1.
# Li2ZnHg2

An optimized crystal structure of Li2ZnHg2 (GGA-PBE, Alexandria via LeMat-Bulk).

## Properties
Its symmetry is Ibam (72). Its energy relative to the lowest polymorph listed for this composition is 38 meV per atom. For the total DFT energy (no corrections), the calculation gives -13.16 eV for the cell shown. The density of states at the Fermi level comes out at 0.9 states/eV/f.u.

Lattice parameters (Å, degrees): 7.4342 7.4342 7.4342 132.81 63.62 139.89
Atoms (fractional coordinates):
Li 0.1030 0.1508 0.2538
Li 0.3970 0.6508 0.0478
Li 0.6030 0.3492 0.9522
Li 0.8970 0.8492 0.7462
Zn 0.2500 0.7500 0.5000
Zn 0.7500 0.2500 0.5000
Hg 0.1768 0.7068 0.8836
Hg 0.3232 0.2068 0.5300
Hg 0.6768 0.7932 0.4700
Hg 0.8232 0.2932 0.1164

***

2.
# AcSm6Dy2Tm

An optimized crystal structure of AcSm6Dy2Tm (GGA-PBE, Alexandria via LeMat-Bulk).

## Properties
Its symmetry is C2/c (15). For the total DFT energy (no corrections), the calculation gives -89.72 eV for the cell shown. The density of states at the Fermi level comes out at 14.0 states/eV/f.u.

Lattice parameters (Å, degrees): 9.0188 9.0188 9.6163 92.69 92.69 117.70
Atoms (fractional coordinates):
Ac 0.0268 0.9732 0.7500
Ac 0.9732 0.0268 0.2500
Sm 0.0089 0.5572 0.6857
Sm 0.1298 0.7548 0.0552
Sm 0.2452 0.8702 0.4448
Sm 0.2872 0.5079 0.8836
Sm 0.4428 0.9911 0.8143
Sm 0.4921 0.7128 0.6164
Sm 0.5079 0.2872 0.3836
Sm 0.5572 0.0089 0.1857
Sm 0.7128 0.4921 0.1164
Sm 0.7548 0.1298 0.5552
Sm 0.8702 0.2452 0.9448
Sm 0.9911 0.4428 0.3143
Dy 0.2053 0.3190 0.5479
Dy 0.3190 0.2053 0.0479
Dy 0.6810 0.7947 0.9521
Dy 0.7947 0.6810 0.4521
Tm 0.4138 0.5862 0.2500
Tm 0.5862 0.4138 0.7500

***

no.,calculated volume (Å³/cell)
1,191.7
2,689.7